Entry 1:
# TeBrF GGA-PBE relaxed
# **Excess energy over the best structure of this formula in the dataset**: 0.20 eV per formula unit
# **Raw formation energy**: -877 meV per atom
data_TeBrF
_symmetry_space_group_name_H-M 'P 1'
_symmetry_Int_Tables_number 1
_cell_length_a 4.235
_cell_length_b 6.394
_cell_length_c 7.516
_cell_angle_alpha 74.48
_cell_angle_beta 75.80
_cell_angle_gamma 70.71
loop_
_symmetry_equiv_pos_as_xyz
'x,y,z'
loop_
_atom_site_label
_atom_site_fract_x
_atom_site_fract_y
_atom_site_fract_z
Te1 0.000 0.000 0.000
Te2 0.490 0.789 0.265
Br1 0.255 0.116 0.427
Br2 0.968 0.585 0.542
F1 0.183 0.677 0.957
F2 0.810 0.281 0.108

---

Entry 2:
# Sc2SbSe GGA-PBE relaxed
# **Excess energy over the best structure of this formula in the dataset**: 1.29 eV per formula unit
# **Raw formation energy**: -942 meV per atom
data_Sc2SbSe
_symmetry_space_group_name_H-M 'I m m m'
_symmetry_Int_Tables_number 71
_symmetry_space_group_name_Hall '-I 2 2'
_cell_length_a 4.201
_cell_length_b 5.754
_cell_length_c 7.511
_cell_angle_alpha 90.00
_cell_angle_beta 90.00
_cell_angle_gamma 90.00
loop_
_atom_site_label
_atom_site_fract_x
_atom_site_fract_y
_atom_site_fract_z
Sc1 0.000 0.000 0.229
Sb1 0.000 0.500 0.000
Se1 0.000 0.500 0.500

---

Entry 3:
# Tb12Te3C5 GGA-PBE relaxed
# **Raw formation energy**: -411 meV per atom
data_Tb12Te3C5
_symmetry_space_group_name_H-M 'I a -3 d'
_symmetry_Int_Tables_number 230
_symmetry_space_group_name_Hall '-I 4bd 2c 3'
_cell_length_a 15.872
_cell_length_b 15.872
_cell_length_c 15.872
_cell_angle_alpha 90.00
_cell_angle_beta 90.00
_cell_angle_gamma 90.00
loop_
_atom_site_label
_atom_site_fract_x
_atom_site_fract_y
_atom_site_fract_z
Tb1 0.037 0.052 0.647
Te1 0.000 0.250 0.125
C1 0.000 0.000 0.000
C2 0.000 0.250 0.375

---

Entry 4:
# Ce3ThSc GGA-PBE relaxed
# **Formation energy**: 0.3 eV per formula unit
data_Ce3ThSc
_symmetry_space_group_name_H-M 'P -1'
_symmetry_Int_Tables_number 2
_cell_length_a 5.934
_cell_length_b 6.822
_cell_length_c 7.477
_cell_angle_alpha 77.11
_cell_angle_beta 75.01
_cell_angle_gamma 72.95
loop_
_symmetry_equiv_pos_as_xyz
'x,y,z'
'-x,-y,-z'
loop_
_atom_site_label
_atom_site_fract_x
_atom_site_fract_y
_atom_site_fract_z
Ce1 0.098 0.397 0.293
Ce2 0.099 0.898 0.299
Ce3 0.291 0.201 0.910
Th1 0.500 0.000 0.500
Th2 0.500 0.500 0.500
Sc1 0.307 0.697 0.898

---

Entry 5:
# PrEr3Cu GGA-PBE relaxed
# **Formation energy**: 0.3 eV per formula unit
data_PrEr3Cu
_symmetry_space_group_name_H-M 'P m -3 m'
_symmetry_Int_Tables_number 221
_symmetry_space_group_name_Hall '-P 4 2 3'
_cell_length_a 5.350
_cell_length_b 5.350
_cell_length_c 5.350
_cell_angle_alpha 90.00
_cell_angle_beta 90.00
_cell_angle_gamma 90.00
loop_
_atom_site_label
_atom_site_fract_x
_atom_site_fract_y
_atom_site_fract_z
Pr1 0.000 0.000 0.000
Er1 0.000 0.500 0.500
Cu1 0.500 0.500 0.500

---

Entry 6:
# Ac2ThPt GGA-PBE relaxed
# **Excess energy over the best structure of this formula in the dataset**: 1.06 eV per formula unit
# **Formation energy**: -0.5 eV per formula unit
data_Ac2ThPt
_symmetry_space_group_name_H-M 'R -3 m'
_symmetry_Int_Tables_number 166
_symmetry_space_group_name_Hall '-R 3 2"'
_cell_length_a 3.9462
_cell_length_b 3.9462
_cell_length_c 33.5154
_cell_angle_alpha 90.00
_cell_angle_beta 90.00
_cell_angle_gamma 120.00
loop_
_atom_site_label
_atom_site_fract_x
_atom_site_fract_y
_atom_site_fract_z
Ac1 0.0000 0.0000 0.1089
Th1 0.0000 0.0000 0.0000
Pt1 0.0000 0.0000 0.5000

---

Entry 7:
# K3Ga4Pt2 GGA-PBE relaxed
# **Formation energy**: -3.3 eV per formula unit
data_K3Ga4Pt2
_symmetry_space_group_name_H-M 'C 1 2/m 1'
_symmetry_Int_Tables_number 12
_cell_length_a 12.510
_cell_length_b 4.351
_cell_length_c 9.312
_cell_angle_alpha 90.00
_cell_angle_beta 109.45
_cell_angle_gamma 90.00
loop_
_symmetry_equiv_pos_as_xyz
'x,y,z'
'-x,-y,-z'
'-x,y,-z'
'x,-y,z'
'x+1/2,y+1/2,z'
'-x+1/2,-y+1/2,-z'
'-x+1/2,y+1/2,-z'
'x+1/2,-y+1/2,z'
loop_
_atom_site_label
_atom_site_fract_x
_atom_site_fract_y
_atom_site_fract_z
K1 0.000 0.000 0.000
K2 0.126 0.500 0.376
Ga1 0.093 0.000 0.649
Ga2 0.239 0.500 0.077
Pt1 0.168 0.500 0.783

---

Entry 8:
# SrNdGaCu GGA-PBE relaxed
# **Formation energy**: -0.9 eV per formula unit
data_SrNdGaCu
_symmetry_space_group_name_H-M 'F -4 3 m'
_symmetry_Int_Tables_number 216
_symmetry_space_group_name_Hall 'F -4 2 3'
_cell_length_a 7.462
_cell_length_b 7.462
_cell_length_c 7.462
_cell_angle_alpha 90.00
_cell_angle_beta 90.00
_cell_angle_gamma 90.00
loop_
_atom_site_label
_atom_site_fract_x
_atom_site_fract_y
_atom_site_fract_z
Sr1 0.000 0.000 0.000
Nd1 0.000 0.000 0.500
Ga1 0.250 0.250 0.250
Cu1 0.250 0.250 0.750

---

Total DFT energy (no corrections) values, unit eV/cell, following the record order: -18.63 -48.07 -954.62 -62.48 -22.27 -66.64 -61.50 -57.81.
Spin magnetization values, unit μB per formula unit, following the record order: 0.00 0.00 0.00 0.00 0.00 0.00 0.00 0.00.